Density functional theory data (GGA-PBE) for crystalline BaIn2Ni at its relaxed geometry.

Properties
ΔE_f   1.2 eV/f.u.
Magnetic moment   0.00 μB per formula unit
Total DFT energy (no corrections)   -24.0 eV/cell

Cell: 6.0414 10.8695 3.3462 Å, 90.00 90.00 90.00°
Last column: nearest neighbours and their distance in Å.
Space group Cmmm (No. 65)
Unique sites:
Ba1 0.0000 0.0000 0.0000 x2  2 Ni 3.02, 2 Ba 3.35
In1 0.2500 0.2500 0.5000 x4  4 In 3.02-3.35
Ni1 0.0000 0.5000 0.0000 x2  2 Ba 3.02, 2 Ni 3.35


Density functional theory data (GGA-PBE) for crystalline KTaAs2Br at its relaxed geometry.

Properties
Formation energy (no corrections)   1.795 eV per atom
Magnetic moment   1.38 μB per formula unit
Offset from the most stable computed form   2.170 eV per atom
Total DFT energy (no corrections)   -14.9 eV/cell

Cell: 5.3113 5.3113 5.3612 Å, 90.00 90.00 90.00°
Last column: nearest neighbours and their distance in Å.
Space group P4/mmm (No. 123)
Unique sites:
K1 0.0000 0.0000 0.0000 x1  4 As 2.66, 2 Br 2.68
Ta1 0.5000 0.5000 0.5000 x1  4 Br 3.76, 8 As 3.77
As1 0.0000 0.5000 0.0000 x2  2 K 2.66
Br1 0.0000 0.0000 0.5000 x1  2 K 2.68


Density functional theory data (GGA-PBE) for crystalline Ba2IrCl at its relaxed geometry.

Properties
Formation energy (no corrections)   -0.917 eV per atom
Magnetic moment   0.00 μB per formula unit
Offset from the most stable computed form   0.039 eV per atom
Total DFT energy (no corrections)   -18.2 eV/cell

Cell: 4.5921 4.5921 6.2366 Å, 90.00 90.00 90.00°
Last column: nearest neighbours and their distance in Å.
Space group P4mm (No. 99)
Unique sites:
Ba1 0.0000 0.0000 0.0000 x1  2 Ir 3.11-3.13, 4 Cl 3.25
Ba2 0.5000 0.5000 0.4990 x1  2 Cl 3.12, 4 Ir 3.25
Ir1 0.0000 0.0000 0.4986 x1  6 Ba 3.11-3.25
Cl1 0.5000 0.5000 0.9990 x1  6 Ba 3.12-3.25


Density functional theory data (GGA-PBE) for crystalline ReBiC3 at its relaxed geometry.

Properties
ΔE_f   20.3 eV/f.u.
Magnetic moment   0.00 μB per formula unit
Offset from the most stable computed form   2.356 eV per atom
Total DFT energy (no corrections)   -23.7 eV/cell

Cell: 4.2961 4.2961 4.2961 Å, 90.00 90.00 90.00°
Last column: nearest neighbours and their distance in Å.
Space group Pm-3m (No. 221)
Unique sites:
Re1 0.0000 0.0000 0.0000 x1  12 C 3.04
Bi1 0.5000 0.5000 0.5000 x1  6 C 2.15
C1 0.0000 0.5000 0.5000 x3  2 Bi 2.15


Density functional theory data (GGA-PBE) for crystalline PrDyYEr at its relaxed geometry.

Properties
ΔE_f   0.8 eV/f.u.
Magnetic moment   0.00 μB per formula unit
Offset from the most stable computed form   0.072 eV per atom
Total DFT energy (no corrections)   -19.6 eV/cell

Cell: 3.4509 5.6594 6.7568 Å, 90.00 90.00 90.00°
Last column: nearest neighbours and their distance in Å.
Space group Pmm2 (No. 25)
Unique sites:
Pr1 0.0000 0.0000 0.0000 x1  2 Y 3.27-3.49, 2 Dy 3.32, 2 Pr 3.45
Dy1 0.0000 0.5000 0.2559 x1  2 Pr 3.32, 2 Y 3.33, 2 Dy 3.45
Y1 0.0000 0.0000 0.5162 x1  2 Pr 3.27-3.49, 2 Dy 3.33, 2 Y 3.45
Er1 0.5000 0.5000 0.7500 x1  2 Er 3.45, 4 Y 3.67, 4 Pr 3.72, 4 Dy 3.76-3.83


Density functional theory data (GGA-PBE) for crystalline MgTeAs at its relaxed geometry.

Properties
Formation energy (no corrections)   -0.074 eV per atom
Magnetic moment   0.00 μB per formula unit
Total DFT energy (no corrections)   -19.2 eV/cell

Cell: 3.1510 3.1510 15.7931 Å, 90.00 90.00 90.00°
Last column: nearest neighbours and their distance in Å.
Space group I4mm (No. 107)
Unique sites:
Mg1 0.0000 0.0000 0.0000 x2  4 As 2.82, 4 Mg 3.15
Te1 0.0000 0.0000 0.6537 x2  4 Te 3.15, 4 Mg 3.29
As1 0.0000 0.0000 0.3910 x2  4 Mg 2.82, 4 As 3.15


Density functional theory data (GGA-PBE) for crystalline ZrZnAs4 at its relaxed geometry.

Properties
ΔE_f   1.1 eV/f.u.
Magnetic moment   0.00 μB per formula unit
Total DFT energy (no corrections)   -109.1 eV/cell

Cell: 7.7923 7.7923 7.7923 Å, 90.00 90.00 90.00°
Last column: nearest neighbours and their distance in Å.
Space group F-43m (No. 216)
Unique sites:
Zr1 0.0000 0.0000 0.0000 x4  12 As 3.23, 4 Zn 3.37
Zn1 0.2500 0.2500 0.2500 x4  12 As 3.23, 4 Zr 3.37
As1 0.1251 0.1251 0.6251 x16  6 As 2.75-2.76


Density functional theory data (GGA-PBE) for crystalline YTh2RuN4 at its relaxed geometry.

Properties
Formation energy (no corrections)   -1.058 eV per atom
Magnetic moment   0.00 μB per formula unit
Total DFT energy (no corrections)   -289.4 eV/cell

Cell: 3.4565 12.0225 11.9003 Å, 90.00 90.00 90.00°
Last column: nearest neighbours and their distance in Å.
Space group Cmcm (No. 63)
Unique sites:
Y1 0.0000 0.1160 0.2500 x4  6 N 2.52-2.60
Th1 0.0000 0.3690 0.0549 x8  6 N 2.43-2.62
Ru1 0.0000 0.1464 0.7500 x4  4 N 2.14-2.18
N1 0.0000 0.0000 0.0000 x4  4 Th 2.43
N2 0.0000 0.2775 0.6280 x8  1 Ru 2.14
N3 0.0000 0.4635 0.2500 x4  2 Ru 2.18


Density functional theory data (GGA-PBE) for crystalline Tb14YHf at its relaxed geometry.

Properties
ΔE_f   0.8 eV/f.u.
Magnetic moment   0.00 μB per formula unit
Total DFT energy (no corrections)   -80.5 eV/cell

Cell: 7.0681 7.0681 9.9610 Å, 90.00 90.00 90.00°
Last column: nearest neighbours and their distance in Å.
Space group P4/mmm (No. 123)
Unique sites:
Tb1 0.0000 0.0000 0.0000 x1  12 Tb 3.53
Tb2 0.0000 0.5000 0.0000 x2  12 Tb 3.53-3.57
Tb3 0.0000 0.5000 0.5000 x2  8 Tb 3.49, 2 Hf 3.53, 2 Y 3.53
Tb4 0.2442 0.2442 0.2557 x8  1 Hf 3.45, 10 Tb 3.45-3.62, 1 Y 3.53
Tb5 0.5000 0.5000 0.0000 x1  12 Tb 3.53-3.61
Y1 0.5000 0.5000 0.5000 x1  12 Tb 3.53
Hf1 0.0000 0.0000 0.5000 x1  12 Tb 3.45-3.53


Density functional theory data (GGA-PBE) for crystalline LiSmSiAu at its relaxed geometry.

Properties
Formation energy (no corrections)   -0.504 eV per atom
Magnetic moment   0.00 μB per formula unit
Total DFT energy (no corrections)   -69.4 eV/cell

Cell: 6.8856 6.8856 6.8856 Å, 90.00 90.00 90.00°
Last column: nearest neighbours and their distance in Å.
Space group F-43m (No. 216)
Unique sites:
Li1 0.0000 0.0000 0.0000 x4  4 Si 2.98, 4 Au 2.98
Sm1 0.0000 0.0000 0.5000 x4  4 Si 2.98, 4 Au 2.98
Si1 0.2500 0.2500 0.2500 x4  4 Li 2.98, 4 Sm 2.98
Au1 0.2500 0.2500 0.7500 x4  4 Li 2.98, 4 Sm 2.98


Density functional theory data (GGA-PBE) for crystalline TbDyScNi at its relaxed geometry.

Properties
ΔE_f   0.4 eV/f.u.
Magnetic moment   0.00 μB per formula unit
Total DFT energy (no corrections)   -83.7 eV/cell

Cell: 7.2008 7.2008 7.2008 Å, 90.00 90.00 90.00°
Last column: nearest neighbours and their distance in Å.
Space group F-43m (No. 216)
Unique sites:
Tb1 0.0000 0.0000 0.0000 x4  4 Ni 3.12, 4 Sc 3.12
Dy1 0.0000 0.0000 0.5000 x4  4 Sc 3.12, 4 Ni 3.12
Sc1 0.2500 0.2500 0.2500 x4  4 Tb 3.12, 4 Dy 3.12
Ni1 0.2500 0.2500 0.7500 x4  4 Dy 3.12, 4 Tb 3.12


Density functional theory data (GGA-PBE) for crystalline SrMnAl2 at its relaxed geometry.

Properties
ΔE_f   1.4 eV/f.u.
Magnetic moment   3.76 μB per formula unit
Total DFT energy (no corrections)   -33.9 eV/cell

Cell: 6.1124 9.4363 3.0395 Å, 90.00 90.00 90.00°
Last column: nearest neighbours and their distance in Å.
Space group Cmmm (No. 65)
Unique sites:
Sr1 0.0000 0.0000 0.0000 x2  2 Sr 3.04, 2 Mn 3.06, 8 Al 3.20
Mn1 0.0000 0.5000 0.0000 x2  2 Mn 3.04, 2 Sr 3.06, 8 Al 3.20
Al1 0.2500 0.2500 0.5000 x4  4 Al 3.04-3.06, 4 Mn 3.20, 4 Sr 3.20